{"formula": "LiCa3Zr", "functional": "meta-GGA SCAN", "state": "single point on PBEsol structure", "spacegroup": "No. 221", "n_ef_per_ev_cell": 4.19, "delta_e_f_ev_per_atom": 0.670, "lattice_angstrom": [[5.5039, 0.0000, 0.0000], [0.0000, 5.5039, 0.0000], [0.0000, 0.0000, 5.5039]], "species": ["Li", "Ca", "Ca", "Ca", "Zr"], "fractional_positions": [[0.0000, 0.0000, 0.0000], [0.0000, 0.0000, 0.5000], [0.0000, 0.5000, 0.0000], [0.5000, 0.0000, 0.0000], [0.5000, 0.5000, 0.5000]]}

***

{"formula": "NbMoAs3", "functional": "meta-GGA SCAN", "state": "single point on PBEsol structure", "spacegroup": "No. 221", "n_ef_per_ev_cell": 2.75, "delta_e_f_ev_per_atom": 0.859, "lattice_angstrom": [[4.9075, 0.0000, 0.0000], [0.0000, 4.9075, 0.0000], [0.0000, 0.0000, 4.9075]], "species": ["Nb", "Mo", "As", "As", "As"], "fractional_positions": [[0.0000, 0.0000, 0.0000], [0.5000, 0.5000, 0.5000], [0.0000, 0.0000, 0.5000], [0.0000, 0.5000, 0.0000], [0.5000, 0.0000, 0.0000]]}

***

{"formula": "Mn2AgSe", "functional": "meta-GGA SCAN", "state": "single point on PBEsol structure", "spacegroup": "No. 160", "raw_formation_energy_ev_per_fu": -0.01, "n_ef_per_ev_cell": 1.86, "lattice_angstrom": [[1.4658, 0.8463, 8.4544], [-1.4658, 0.8463, 8.4544], [0.0000, -1.6925, 8.4544]], "species": ["Mn", "Mn", "Ag", "Se"], "fractional_positions": [[0.0000, 0.0000, 0.0000], [0.2561, 0.2561, 0.2561], [0.5035, 0.5035, 0.5035], [0.7299, 0.7299, 0.7299]]}

***

{"formula": "MgZrCd2", "functional": "meta-GGA SCAN", "state": "single point on PBEsol structure", "spacegroup": "No. 99", "n_ef_per_ev_cell": 2.15, "delta_e_f_ev_per_atom": -0.120, "lattice_angstrom": [[3.1324, 0.0000, 0.0000], [0.0000, 3.1324, 0.0000], [0.0000, 0.0000, 8.4559]], "species": ["Mg", "Zr", "Cd", "Cd"], "fractional_positions": [[0.0000, 0.0000, 0.0000], [0.5000, 0.5000, 0.2645], [0.0000, 0.0000, 0.5169], [0.5000, 0.5000, 0.7595]]}

***

{"formula": "YMn2ReW", "functional": "meta-GGA SCAN", "state": "single point on PBEsol structure", "spacegroup": "No. 123", "n_ef_per_ev_cell": 4.87, "delta_e_f_ev_per_atom": 1.544, "lattice_angstrom": [[4.4504, 0.0000, 0.0000], [0.0000, 4.4504, 0.0000], [0.0000, 0.0000, 5.1225]], "species": ["Y", "Mn", "Mn", "Re", "W"], "fractional_positions": [[0.0000, 0.0000, 0.0000], [0.0000, 0.5000, 0.5000], [0.5000, 0.0000, 0.5000], [0.0000, 0.0000, 0.5000], [0.5000, 0.5000, 0.0000]]}

***

{"formula": "YTl2Au", "functional": "meta-GGA SCAN", "state": "single point on PBEsol structure", "spacegroup": "No. 10", "relative_energy_mev_per_atom": 22.6, "n_ef_per_ev_cell": 1.73, "delta_e_f_ev_per_atom": -0.402, "lattice_angstrom": [[3.7157, 0.0000, 0.0000], [0.0000, 4.8903, 0.0000], [-0.5718, 0.0000, 5.3278]], "species": ["Y", "Tl", "Tl", "Au"], "fractional_positions": [[0.0000, 0.0000, 0.0000], [0.2981, 0.5000, 0.7347], [0.7019, 0.5000, 0.2653], [0.5000, 0.0000, 0.5000]]}

***

{"formula": "CaCuIr2", "functional": "meta-GGA SCAN", "state": "single point on PBEsol structure", "spacegroup": "No. 47", "n_ef_per_ev_cell": 3.25, "delta_e_f_ev_per_atom": 0.078, "lattice_angstrom": [[2.8570, 0.0000, 0.0000], [0.0000, 4.5787, 0.0000], [0.0000, 0.0000, 4.6855]], "species": ["Ca", "Cu", "Ir", "Ir"], "fractional_positions": [[0.0000, 0.0000, 0.0000], [0.5000, 0.0000, 0.5000], [0.0000, 0.5000, 0.5000], [0.5000, 0.5000, 0.0000]]}

***

{"formula": "AsBrF3", "functional": "meta-GGA SCAN", "state": "single point on PBEsol structure", "spacegroup": "No. 221", "raw_formation_energy_ev_per_fu": 0.64, "n_ef_per_ev_cell": 6.50, "lattice_angstrom": [[4.4424, 0.0000, 0.0000], [0.0000, 4.4424, 0.0000], [0.0000, 0.0000, 4.4424]], "species": ["As", "Br", "F", "F", "F"], "fractional_positions": [[0.0000, 0.0000, 0.0000], [0.5000, 0.5000, 0.5000], [0.0000, 0.5000, 0.5000], [0.5000, 0.0000, 0.5000], [0.5000, 0.5000, 0.0000]]}